# RbBaTlO3, relaxed, DFT PBE
# Uncorrected formation energy ... -1.404 eV/atom
data_RbBaTlO3
_chemical_formula_sum 'Rb4 Ba4 Tl4 O12'
_space_group_name_H-M_alt 'C 1 2/c 1'
_space_group_IT_number 15
_cell_length_a 6.5700
_cell_length_b 12.7747
_cell_length_c 6.0807
_cell_angle_alpha 90.00
_cell_angle_beta 105.39
_cell_angle_gamma 90.00
loop_
_space_group_symop_operation_xyz
'x,y,z'
'-x,-y,-z'
'-x,y,-z+1/2'
'x,-y,z+1/2'
'x+1/2,y+1/2,z'
'-x+1/2,-y+1/2,-z'
'-x+1/2,y+1/2,-z+1/2'
'x+1/2,-y+1/2,z+1/2'
loop_
_atom_site_label
_atom_site_type_symbol
_atom_site_fract_x
_atom_site_fract_y
_atom_site_fract_z
Rb1 Rb 0.0000 0.0654 0.2500
Ba1 Ba 0.0000 0.2651 0.7500
Tl1 Tl 0.0000 0.4412 0.2500
O1 O 0.0000 0.2711 0.2500
O2 O 0.1923 0.4302 0.9793

---

# HfTi2Fe, relaxed, DFT PBE
# Energy of formation ... -0.131 eV per atom
# Energy relative to the lowest polymorph listed for this composition ... 0.0 meV/atom
data_HfTi2Fe
_chemical_formula_sum 'Hf1 Ti2 Fe1'
_space_group_name_H-M_alt 'P 4/m m m'
_space_group_IT_number 123
_space_group_name_Hall '-P 4 2'
_cell_length_a 3.0289
_cell_length_b 3.0289
_cell_length_c 7.0533
_cell_angle_alpha 90.00
_cell_angle_beta 90.00
_cell_angle_gamma 90.00
loop_
_atom_site_label
_atom_site_type_symbol
_atom_site_fract_x
_atom_site_fract_y
_atom_site_fract_z
Hf1 Hf 0.0000 0.0000 0.0000
Ti1 Ti 0.5000 0.5000 0.2947
Fe1 Fe 0.0000 0.0000 0.5000

---

# Li3YPt, relaxed, DFT PBE
# Energy of formation ... 1.344 eV per atom
# Energy relative to the lowest polymorph listed for this composition ... 1409.0 meV/atom
data_Li3YPt
_chemical_formula_sum 'Li3 Y1 Pt1'
_space_group_name_H-M_alt 'P m -3 m'
_space_group_IT_number 221
_space_group_name_Hall '-P 4 2 3'
_cell_length_a 4.6527
_cell_length_b 4.6527
_cell_length_c 4.6527
_cell_angle_alpha 90.00
_cell_angle_beta 90.00
_cell_angle_gamma 90.00
loop_
_atom_site_label
_atom_site_type_symbol
_atom_site_fract_x
_atom_site_fract_y
_atom_site_fract_z
Li1 Li 0.0000 0.0000 0.5000
Y1 Y 0.0000 0.0000 0.0000
Pt1 Pt 0.5000 0.5000 0.5000

---

# Ta2BeP, relaxed, DFT PBE
# Energy of formation ... -0.150 eV per atom
# Energy relative to the lowest polymorph listed for this composition ... 499.1 meV/atom
data_Ta2BeP
_chemical_formula_sum 'Ta4 Be2 P2'
_space_group_name_H-M_alt 'C 1 m 1'
_space_group_IT_number 8
_cell_length_a 9.3469
_cell_length_b 2.9092
_cell_length_c 4.4155
_cell_angle_alpha 90.00
_cell_angle_beta 106.18
_cell_angle_gamma 90.00
loop_
_space_group_symop_operation_xyz
'x,y,z'
'x,-y,z'
'x+1/2,y+1/2,z'
'x+1/2,-y+1/2,z'
loop_
_atom_site_label
_atom_site_type_symbol
_atom_site_fract_x
_atom_site_fract_y
_atom_site_fract_z
Ta1 Ta 0.0000 0.0000 0.0000
Ta2 Ta 0.2033 0.0000 0.6191
Be1 Be 0.4464 0.0000 0.4614
P1 P 0.2462 0.5000 0.1453

---

# CaSe2Cl, relaxed, DFT PBE
# Uncorrected formation energy ... -1.188 eV/atom
# Energy relative to the lowest polymorph listed for this composition ... 97.3 meV/atom
data_CaSe2Cl
_chemical_formula_sum 'Ca2 Se4 Cl2'
_space_group_name_H-M_alt 'C 1 m 1'
_space_group_IT_number 8
_cell_length_a 9.8815
_cell_length_b 3.6704
_cell_length_c 6.0745
_cell_angle_alpha 90.00
_cell_angle_beta 102.21
_cell_angle_gamma 90.00
loop_
_space_group_symop_operation_xyz
'x,y,z'
'x,-y,z'
'x+1/2,y+1/2,z'
'x+1/2,-y+1/2,z'
loop_
_atom_site_label
_atom_site_type_symbol
_atom_site_fract_x
_atom_site_fract_y
_atom_site_fract_z
Ca1 Ca 0.0000 0.0000 0.0000
Se1 Se 0.0395 0.5000 0.4203
Se2 Se 0.3617 0.0000 0.6099
Cl1 Cl 0.2133 0.5000 0.0237

---

# Pr2NdHo6, relaxed, DFT PBE
# Energy of formation ... 0.328 eV per atom
# Energy relative to the lowest polymorph listed for this composition ... 222.6 meV/atom
data_Pr2NdHo6
_chemical_formula_sum 'Pr6 Nd3 Ho18'
_space_group_name_H-M_alt 'R 3 m'
_space_group_IT_number 160
_space_group_name_Hall 'R 3 -2"'
_cell_length_a 7.4538
_cell_length_b 7.4538
_cell_length_c 18.9852
_cell_angle_alpha 90.00
_cell_angle_beta 90.00
_cell_angle_gamma 120.00
loop_
_atom_site_label
_atom_site_type_symbol
_atom_site_fract_x
_atom_site_fract_y
_atom_site_fract_z
Pr1 Pr 0.0000 0.0000 0.0000
Pr2 Pr 0.0000 0.0000 0.1759
Nd1 Nd 0.0000 0.0000 0.7366
Ho1 Ho 0.0183 0.5091 0.1887
Ho2 Ho 0.0455 0.5228 0.9924

---

| no. | theoretical density (g/cm³) | total moment (μB/atom) |
| --- | --- | --- |
| 1 | 6.41 | 0.0000 |
| 2 | 8.47 | 0.0001 |
| 3 | 5.03 | 0.1390 |
| 4 | 11.58 | 0.0000 |
| 5 | 3.60 | 0.0000 |
| 6 | 7.72 | 0.0001 |